The following is a GGA-PBE calculation of a geometry-optimized NaTl2Ag9 structure, from Alexandria.

a b c (Å): 9.891 9.891 9.891
angles (deg): 33.21 33.21 33.21
Fractional positions:
Na 0.000 0.000 0.000
Tl 0.142 0.142 0.142
Tl 0.858 0.858 0.858
Ag 0.082 0.584 0.584
Ag 0.333 0.333 0.333
Ag 0.416 0.416 0.918
Ag 0.416 0.918 0.416
Ag 0.500 0.500 0.500
Ag 0.584 0.082 0.584
Ag 0.584 0.584 0.082
Ag 0.667 0.667 0.667
Ag 0.918 0.416 0.416

Computed properties:
As for the total energy: -2.604 eV per atom. Its space group is R-3m (166). As for the formation enthalpy at 0 K: 38 meV/atom. The value obtained for the density of states at the Fermi level is 2.15 states/eV/cell.